Computed, not measured: K2Ta3 after structural relaxation at the GGA-PBE level of DFT.

Values from the calculation:
* theoretical density: 6.8 g/cm3
* ΔE to the lowest computed polymorph: 529.2 meV/atom
* ΔH_f (0 K): 1.60 eV/atom
* symmetry: Fdd2 (43)

Cell and atoms, written as POSCAR:
```
K2Ta3
1.0
0.000 4.935 8.342
3.688 0.000 8.342
3.688 4.935 0.000
Ta K
6 4
Direct
0.782 0.972 0.888
0.278 0.468 0.893
0.391 0.109 0.109
0.141 0.859 0.859
0.357 0.888 0.972
0.362 0.893 0.468
0.805 0.304 0.477
0.946 0.445 0.836
0.773 0.836 0.445
0.414 0.477 0.304
```